First-principles (PBE) data for PmGdCoCu after structural relaxation, as listed in the Alexandria database.

```
PmGdCoCu
1.0
6.939 0.000 0.000
0.000 6.939 0.000
0.000 0.000 6.939
Pm Gd Co Cu
4 4 4 4
Cartesian
0.000 0.000 0.000
0.000 3.469 3.469
3.469 0.000 3.469
3.469 3.469 0.000
0.000 0.000 3.469
0.000 3.469 0.000
3.469 0.000 0.000
3.469 3.469 3.469
1.735 1.735 1.735
1.735 5.204 5.204
5.204 1.735 5.204
5.204 5.204 1.735
1.735 1.735 5.204
1.735 5.204 1.735
5.204 1.735 1.735
5.204 5.204 5.204
```

Formation energy from the elements   -0.113 eV/atom
Theoretical density   8.4 g/cm3
Total DFT energy (no corrections)   -7.622 eV per atom
DOS at the Fermi energy   3.82 states/eV/f.u.

First-principles (PBE) data for PrGdCoCu after structural relaxation, as listed in the Alexandria database.

```
PrGdCoCu
1.0
6.997 0.000 0.000
0.000 6.997 0.000
0.000 0.000 6.997
Pr Gd Co Cu
4 4 4 4
Cartesian
0.000 0.000 0.000
0.000 3.498 3.498
3.498 0.000 3.498
3.498 3.498 0.000
0.000 0.000 3.498
0.000 3.498 0.000
3.498 0.000 0.000
3.498 3.498 3.498
1.749 1.749 5.248
1.749 5.248 1.749
5.248 1.749 1.749
5.248 5.248 5.248
1.749 1.749 1.749
1.749 5.248 5.248
5.248 1.749 5.248
5.248 5.248 1.749
```

Formation energy from the elements   -0.080 eV/atom
Theoretical density   8.2 g/cm3
Total DFT energy (no corrections)   -7.596 eV per atom
DOS at the Fermi energy   3.96 states/eV/f.u.

First-principles (PBE) data for SmGdCoCu after structural relaxation, as listed in the Alexandria database.

```
SmGdCoCu
1.0
6.918 0.000 0.000
0.000 6.918 0.000
0.000 0.000 6.918
Sm Gd Co Cu
4 4 4 4
Cartesian
0.000 0.000 0.000
0.000 3.459 3.459
3.459 0.000 3.459
3.459 3.459 0.000
0.000 0.000 3.459
0.000 3.459 0.000
3.459 0.000 0.000
3.459 3.459 3.459
1.730 1.730 1.730
1.730 5.189 5.189
5.189 1.730 5.189
5.189 5.189 1.730
1.730 1.730 5.189
1.730 5.189 1.730
5.189 1.730 1.730
5.189 5.189 5.189
```

Formation energy from the elements   -0.124 eV/atom
Theoretical density   8.6 g/cm3
Total DFT energy (no corrections)   -7.624 eV per atom
DOS at the Fermi energy   3.71 states/eV/f.u.

First-principles (PBE) data for TbGdCoCu after structural relaxation, as listed in the Alexandria database.

```
TbGdCoCu
1.0
6.855 0.000 0.000
0.000 6.855 0.000
0.000 0.000 6.855
Tb Gd Co Cu
4 4 4 4
Cartesian
0.000 0.000 0.000
0.000 3.427 3.427
3.427 0.000 3.427
3.427 3.427 0.000
0.000 0.000 3.427
0.000 3.427 0.000
3.427 0.000 0.000
3.427 3.427 3.427
1.714 1.714 1.714
1.714 5.141 5.141
5.141 1.714 5.141
5.141 5.141 1.714
1.714 1.714 5.141
1.714 5.141 1.714
5.141 1.714 1.714
5.141 5.141 5.141
```

Formation energy from the elements   -0.161 eV/atom
Theoretical density   9.0 g/cm3
Total DFT energy (no corrections)   -7.640 eV per atom
DOS at the Fermi energy   3.49 states/eV/f.u.

First-principles (PBE) data for GdThCoCu after structural relaxation, as listed in the Alexandria database.

```
GdThCoCu
1.0
6.961 0.000 0.000
0.000 6.961 0.000
0.000 0.000 6.961
Gd Th Co Cu
4 4 4 4
Cartesian
0.000 0.000 0.000
0.000 3.480 3.480
3.480 0.000 3.480
3.480 3.480 0.000
0.000 0.000 3.480
0.000 3.480 0.000
3.480 0.000 0.000
3.480 3.480 3.480
1.740 1.740 5.221
1.740 5.221 1.740
5.221 1.740 1.740
5.221 5.221 5.221
1.740 1.740 1.740
1.740 5.221 5.221
5.221 1.740 5.221
5.221 5.221 1.740
```

Formation energy from the elements   -0.125 eV/atom
Theoretical density   10.1 g/cm3
Total DFT energy (no corrections)   -8.300 eV per atom
DOS at the Fermi energy   3.03 states/eV/f.u.

First-principles (PBE) data for GdTmCoCu after structural relaxation, as listed in the Alexandria database.

```
GdTmCoCu
1.0
6.789 0.000 0.000
0.000 6.789 0.000
0.000 0.000 6.789
Gd Tm Co Cu
4 4 4 4
Cartesian
0.000 0.000 0.000
0.000 3.394 3.394
3.394 0.000 3.394
3.394 3.394 0.000
0.000 0.000 3.394
0.000 3.394 0.000
3.394 0.000 0.000
3.394 3.394 3.394
1.697 1.697 1.697
1.697 5.091 5.091
5.091 1.697 5.091
5.091 5.091 1.697
1.697 1.697 5.091
1.697 5.091 1.697
5.091 1.697 1.697
5.091 5.091 5.091
```

Formation energy from the elements   -0.194 eV/atom
Theoretical density   9.5 g/cm3
Total DFT energy (no corrections)   -7.632 eV per atom
DOS at the Fermi energy   3.40 states/eV/f.u.

First-principles (PBE) data for CoCu2Ge after structural relaxation, as listed in the Alexandria database.

```
CoCu2Ge
1.0
3.433 0.000 0.000
0.000 3.433 0.000
0.000 0.000 17.953
Co Cu Ge
4 8 4
Cartesian
0.000 0.000 0.000
0.000 1.716 4.488
1.716 0.000 13.465
1.716 1.716 8.977
0.846 0.858 2.244
0.858 2.563 6.733
0.858 2.586 15.709
0.870 0.858 11.221
2.563 2.575 11.221
2.575 0.846 15.709
2.575 0.870 6.733
2.586 2.575 2.244
0.000 0.000 8.977
0.000 1.716 13.465
1.716 0.000 4.488
1.716 1.716 0.000
```

Formation energy from the elements   0.240 eV/atom
Theoretical density   8.1 g/cm3
Total DFT energy (no corrections)   -4.739 eV per atom
DOS at the Fermi energy   2.99 states/eV/f.u.
Distance to the lowest polymorph of the same formula   250 meV per atom

First-principles (PBE) data for Co2Cu2Ge after structural relaxation, as listed in the Alexandria database.

```
Co2Cu2Ge
1.0
5.803 0.000 0.000
0.000 5.803 0.000
0.000 0.000 3.809
Co Cu Ge
4 4 2
Cartesian
0.792 2.110 0.000
2.110 5.012 0.000
3.693 0.792 0.000
5.012 3.693 0.000
0.933 3.835 1.905
1.968 0.933 1.905
3.835 4.870 1.905
4.870 1.968 1.905
0.000 0.000 0.000
2.902 2.902 0.000
```

Formation energy from the elements   0.137 eV/atom
Theoretical density   8.2 g/cm3
Total DFT energy (no corrections)   -5.268 eV per atom
DOS at the Fermi energy   4.32 states/eV/f.u.

First-principles (PBE) data for Co3CuGe after structural relaxation, as listed in the Alexandria database.

```
Co3CuGe
1.0
4.310 0.000 0.000
0.000 4.310 0.000
0.000 0.000 4.310
Co Cu Ge
3 1 1
Cartesian
0.000 0.000 2.155
0.000 2.155 0.000
2.155 0.000 0.000
2.155 2.155 2.155
0.000 0.000 0.000
```

Formation energy from the elements   0.997 eV/atom
Theoretical density   6.5 g/cm3
Total DFT energy (no corrections)   -5.010 eV per atom
DOS at the Fermi energy   5.56 states/eV/f.u.
Distance to the lowest polymorph of the same formula   0 meV per atom

First-principles (PBE) data for CoCu3Ge after structural relaxation, as listed in the Alexandria database.

```
CoCu3Ge
1.0
4.412 0.000 0.000
0.000 4.412 0.000
0.000 0.000 4.412
Co Cu Ge
1 3 1
Cartesian
0.000 0.000 0.000
0.000 0.000 2.206
0.000 2.206 0.000
2.206 0.000 0.000
2.206 2.206 2.206
```

Formation energy from the elements   0.960 eV/atom
Theoretical density   6.2 g/cm3
Total DFT energy (no corrections)   -3.842 eV per atom
DOS at the Fermi energy   6.06 states/eV/f.u.
Distance to the lowest polymorph of the same formula   9 meV per atom

First-principles (PBE) data for Co4CuGe2 after structural relaxation, as listed in the Alexandria database.

```
Co4CuGe2
1.0
1.969 1.137 6.429
-1.969 1.137 6.429
0.000 -2.273 6.429
Co Cu Ge
4 1 2
Cartesian
0.000 0.000 2.356
0.000 0.000 7.204
0.000 0.000 12.083
0.000 0.000 16.931
0.000 0.000 9.644
0.000 0.000 4.865
0.000 0.000 14.422
```

Formation energy from the elements   0.000 eV/atom
Theoretical density   8.6 g/cm3
Total DFT energy (no corrections)   -5.965 eV per atom
DOS at the Fermi energy   9.96 states/eV/f.u.

First-principles (PBE) data for CoCuGe4 after structural relaxation, as listed in the Alexandria database.

```
CoCuGe4
1.0
-2.984 2.984 5.143
2.984 -2.984 5.143
2.984 2.984 -5.143
Co Cu Ge
2 2 8
Cartesian
0.000 0.000 2.571
0.000 0.000 7.714
0.000 0.000 0.000
0.000 0.000 5.143
3.907 0.924 -1.403
0.924 2.060 -1.403
3.907 0.924 1.403
0.924 2.060 1.403
2.060 0.924 3.740
-0.924 2.060 3.740
2.060 0.924 6.545
-0.924 2.060 6.545
```

Formation energy from the elements   -0.011 eV/atom
Theoretical density   7.5 g/cm3
Total DFT energy (no corrections)   -4.956 eV per atom
DOS at the Fermi energy   2.39 states/eV/f.u.

Number 1: total magnetization 6.73 μB per formula unit. Number 2: total magnetization 6.70 μB per formula unit. Number 3: total magnetization 6.73 μB per formula unit. Number 4: total magnetization 6.73 μB per formula unit. Number 5: total magnetization 7.05 μB per formula unit. Number 6: total magnetization 6.74 μB per formula unit. Number 7: total magnetization 0.00 μB per formula unit. Number 8: total magnetization 0.50 μB per formula unit. Number 9: total magnetization 4.04 μB per formula unit. Number 10: total magnetization 1.65 μB per formula unit. Number 11: total magnetization 0.00 μB per formula unit. Number 12: total magnetization 0.00 μB per formula unit.